Entry from Alexandria: an optimized crystal structure of SeS2F (PBE).

Computed properties:
Electronic total energy in eV/atom: -3.325
Calculated volume in Å³/cell: 225
Energy relative to the lowest polymorph listed for this composition in meV per atom: 0
Energy relative to the elements, uncorrected in meV/atom: 77

CIF file:
```
data_SeS2F
_symmetry_space_group_name_H-M 'R -3 m'
_symmetry_Int_Tables_number 166
_symmetry_space_group_name_Hall '-R 3 2"'
_cell_length_a 3.4257
_cell_length_b 3.4257
_cell_length_c 22.1390
_cell_angle_alpha 90.00
_cell_angle_beta 90.00
_cell_angle_gamma 120.00
loop_
_atom_site_label
_atom_site_type_symbol
_atom_site_fract_x
_atom_site_fract_y
_atom_site_fract_z
_atom_site_occupancy
Se1 Se 0.0000 0.0000 0.0000 1
S1 S 0.0000 0.0000 0.4062 1
F1 F 0.0000 0.0000 0.5000 1
```